Material: BaMnBr4
Method: DFT, PBE
State: relaxed

```
data_BaMnBr4
_symmetry_space_group_name_H-M 'P 1'
_symmetry_Int_Tables_number 1
_cell_length_a 8.5850
_cell_length_b 8.5850
_cell_length_c 8.5850
_cell_angle_alpha 105.56
_cell_angle_beta 105.56
_cell_angle_gamma 117.60
loop_
_symmetry_equiv_pos_as_xyz
'x,y,z'
loop_
_atom_site_label
_atom_site_type_symbol
_atom_site_fract_x
_atom_site_fract_y
_atom_site_fract_z
Ba1 Ba 0.3750 0.6250 0.7500
Ba2 Ba 0.6250 0.3750 0.2500
Mn1 Mn 0.1250 0.8750 0.2500
Mn2 Mn 0.8750 0.1250 0.7500
Br1 Br 0.1245 0.6919 0.4326
Br2 Br 0.2408 0.3081 0.9326
Br3 Br 0.3081 0.2408 0.4326
Br4 Br 0.3081 0.8755 0.0674
Br5 Br 0.6919 0.1245 0.9326
Br6 Br 0.6919 0.7592 0.5674
Br7 Br 0.7592 0.6919 0.0674
Br8 Br 0.8755 0.3081 0.5674
```

Calculated values
D(E_F)   0.00 states/eV/f.u.
Density   3.5 g/cm³
Formation energy (no corrections)   -1482 meV per atom